*w*
A relaxed GaRuS2Cl crystal, computed with PBE.

a b c (Å): 4.7114 4.7114 4.7393
angles (deg): 90.00 90.00 90.00
Last column: magnetic moment on the atom in μB.
Element x y z (fractional)
Ga (0.0000, 0.0000, 0.0000)  0.00
Cl (0.0000, 0.0000, 0.5000)  0.08
Ru (0.5000, 0.5000, 0.5000)  3.00
S (0.0000, 0.5000, 0.0000)  0.15
S (0.5000, 0.0000, 0.0000)  0.15

## Properties
Calculated volume, Å³ per cell: 105.20
Magnetic moment, Bohr magnetons per cell: 3.80
Symmetry: No. 123

---

*x*
A relaxed GaRuS2Cl crystal, computed with PBE.

a b c (Å): 4.5992 4.5992 5.1181
angles (deg): 90.00 90.00 90.00
Element x y z (fractional)
S (0.5000, 0.0000, 0.0000)
S (0.0000, 0.5000, 0.0000)
Cl (0.0000, 0.0000, 0.5000)
Ru (0.0000, 0.0000, 0.0000)
Ga (0.5000, 0.5000, 0.5000)

## Properties
Calculated volume, Å³ per cell: 108.26
Magnetic moment, Bohr magnetons per cell: 0.00
Symmetry: No. 123

---

From most stable to least stable, the computed energies give *x*, *w*.

---

*w*
A relaxed GaSnSCl2 crystal, computed with PBE.

a b c (Å): 5.3857 5.3857 5.0210
angles (deg): 90.00 90.00 90.00
Element x y z (fractional)
Ga (0.5000, 0.5000, 0.5000)
S (0.0000, 0.0000, 0.5000)
Cl (0.5000, 0.0000, 0.0000)
Cl (0.0000, 0.5000, 0.0000)
Sn (0.0000, 0.0000, 0.0000)

## Properties
Calculated volume, Å³ per cell: 145.64
Magnetic moment, Bohr magnetons per cell: 0.00
Symmetry: No. 123

---

*x*
A relaxed GaSnSCl2 crystal, computed with PBE.

a b c (Å): 4.9286 4.9286 4.8556
angles (deg): 90.00 90.00 90.00
Element x y z (fractional)
Cl (0.5000, 0.0000, 0.0000)
Cl (0.0000, 0.5000, 0.0000)
Sn (0.5000, 0.5000, 0.5000)
Ga (0.0000, 0.0000, 0.0000)
S (0.0000, 0.0000, 0.5000)

## Properties
Calculated volume, Å³ per cell: 117.95
Magnetic moment, Bohr magnetons per cell: 0.00
Symmetry: No. 123

---

From most stable to least stable, the computed energies give *w*, *x*.

---

*w*
A relaxed TaGaS2Cl crystal, computed with PBE.

a b c (Å): 4.8305 4.8305 4.8912
angles (deg): 90.00 90.00 90.00
Element x y z (fractional)
Ga (0.5000, 0.5000, 0.5000)
Cl (0.0000, 0.0000, 0.5000)
Ta (0.0000, 0.0000, 0.0000)
S (0.0000, 0.5000, 0.0000)
S (0.5000, 0.0000, 0.0000)

## Properties
Calculated volume, Å³ per cell: 114.13
Magnetic moment, Bohr magnetons per cell: 0.00
Symmetry: No. 123

---

*x*
A relaxed TaGaS2Cl crystal, computed with PBE.

a b c (Å): 4.6999 4.6999 4.5501
angles (deg): 90.00 90.00 90.00
Last column: magnetic moment on the atom in μB.
Element x y z (fractional)
Ta (0.5000, 0.5000, 0.5000)  1.91
Cl (0.0000, 0.0000, 0.5000)  -0.02
S (0.5000, 0.0000, 0.0000)  -0.10
S (0.0000, 0.5000, 0.0000)  -0.10
Ga (0.0000, 0.0000, 0.0000)  0.03

## Properties
Calculated volume, Å³ per cell: 100.51
Magnetic moment, Bohr magnetons per cell: 2.58
Symmetry: No. 123

---

From most stable to least stable, the computed energies give *w*, *x*.

---

*w*
A relaxed GaTeSCl2 crystal, computed with PBE.

a b c (Å): 5.3598 5.3598 5.2333
angles (deg): 90.00 90.00 90.00
Element x y z (fractional)
Cl (0.5000, 0.0000, 0.0000)
Cl (0.0000, 0.5000, 0.0000)
S (0.0000, 0.0000, 0.5000)
Ga (0.5000, 0.5000, 0.5000)
Te (0.0000, 0.0000, 0.0000)

## Properties
Calculated volume, Å³ per cell: 150.34
Magnetic moment, Bohr magnetons per cell: 0.00
Symmetry: No. 123

---

*x*
A relaxed GaTeSCl2 crystal, computed with PBE.

a b c (Å): 4.7120 4.7120 5.2341
angles (deg): 90.00 90.00 90.00
Last column: magnetic moment on the atom in μB.
Element x y z (fractional)
Cl (0.5000, 0.0000, 0.0000)  0.06
Cl (0.0000, 0.5000, 0.0000)  0.06
Ga (0.0000, 0.0000, 0.0000)  0.00
Te (0.5000, 0.5000, 0.5000)  0.51
S (0.0000, 0.0000, 0.5000)  0.01

## Properties
Calculated volume, Å³ per cell: 116.21
Magnetic moment, Bohr magnetons per cell: 1.05
Symmetry: No. 123

---

From most stable to least stable, the computed energies give *w*, *x*.

---

*w*
A relaxed GaTeS2Cl crystal, computed with PBE.

a b c (Å): 5.1205 5.1205 5.3332
angles (deg): 90.00 90.00 90.00
Element x y z (fractional)
S (0.5000, 0.0000, 0.0000)
S (0.0000, 0.5000, 0.0000)
Ga (0.5000, 0.5000, 0.5000)
Te (0.0000, 0.0000, 0.0000)
Cl (0.0000, 0.0000, 0.5000)

## Properties
Calculated volume, Å³ per cell: 139.83
Magnetic moment, Bohr magnetons per cell: 0.00
Symmetry: No. 123

---

*x*
A relaxed GaTeS2Cl crystal, computed with PBE.

a b c (Å): 4.8344 4.8344 4.6257
angles (deg): 90.00 90.00 90.00
Element x y z (fractional)
Ga (0.0000, 0.0000, 0.0000)
S (0.0000, 0.5000, 0.0000)
S (0.5000, 0.0000, 0.0000)
Te (0.5000, 0.5000, 0.5000)
Cl (0.0000, 0.0000, 0.5000)

## Properties
Calculated volume, Å³ per cell: 108.11
Magnetic moment, Bohr magnetons per cell: 0.00
Symmetry: No. 123

---

From most stable to least stable, the computed energies give *w*, *x*.

---

*w*
A relaxed TiGaSCl2 crystal, computed with PBE.

a b c (Å): 4.9327 4.9327 4.7569
angles (deg): 90.00 90.00 90.00
Last column: magnetic moment on the atom in μB.
Element x y z (fractional)
Ga (0.5000, 0.5000, 0.5000)  0.00
Ti (0.0000, 0.0000, 0.0000)  0.87
Cl (0.5000, 0.0000, 0.0000)  0.00
Cl (0.0000, 0.5000, 0.0000)  0.00
S (0.0000, 0.0000, 0.5000)  -0.05

## Properties
Calculated volume, Å³ per cell: 115.74
Magnetic moment, Bohr magnetons per cell: 0.97
Symmetry: No. 123

---

*x*
A relaxed TiGaSCl2 crystal, computed with PBE.

a b c (Å): 4.8033 4.8033 4.8894
angles (deg): 90.00 90.00 90.00
Last column: magnetic moment on the atom in μB.
Element x y z (fractional)
Cl (0.0000, 0.5000, 0.0000)  0.00
Cl (0.5000, 0.0000, 0.0000)  0.00
Ti (0.5000, 0.5000, 0.5000)  -2.02
S (0.0000, 0.0000, 0.5000)  0.04
Ga (0.0000, 0.0000, 0.0000)  -0.01

## Properties
Calculated volume, Å³ per cell: 112.81
Magnetic moment, Bohr magnetons per cell: 2.39
Symmetry: No. 123

---

From most stable to least stable, the computed energies give *w*, *x*.

---

*w*
A relaxed VGaSCl2 crystal, computed with PBE.

a b c (Å): 4.9613 4.9613 4.5781
angles (deg): 90.00 90.00 90.00
Last column: magnetic moment on the atom in μB.
Element x y z (fractional)
S (0.0000, 0.0000, 0.5000)  -0.14
Ga (0.5000, 0.5000, 0.5000)  0.00
V (0.0000, 0.0000, 0.0000)  1.92
Cl (0.5000, 0.0000, 0.0000)  0.01
Cl (0.0000, 0.5000, 0.0000)  0.01

## Properties
Calculated volume, Å³ per cell: 112.69
Magnetic moment, Bohr magnetons per cell: 2.00
Symmetry: No. 123

---

*x*
A relaxed VGaSCl2 crystal, computed with PBE.

a b c (Å): 4.7999 4.7999 4.8677
angles (deg): 90.00 90.00 90.00
Last column: magnetic moment on the atom in μB.
Element x y z (fractional)
Ga (0.0000, 0.0000, 0.0000)  0.00
Cl (0.0000, 0.5000, 0.0000)  0.00
Cl (0.5000, 0.0000, 0.0000)  0.00
S (0.0000, 0.0000, 0.5000)  -0.08
V (0.5000, 0.5000, 0.5000)  3.06

## Properties
Calculated volume, Å³ per cell: 112.15
Magnetic moment, Bohr magnetons per cell: 3.46
Symmetry: No. 123

---

From most stable to least stable, the computed energies give *w*, *x*.

---

*w*
A relaxed YGaS2Cl crystal, computed with PBE.

a b c (Å): 4.8055 4.8055 4.6438
angles (deg): 90.00 90.00 90.00
Element x y z (fractional)
S (0.0000, 0.5000, 0.0000)
S (0.5000, 0.0000, 0.0000)
Y (0.5000, 0.5000, 0.5000)
Ga (0.0000, 0.0000, 0.0000)
Cl (0.0000, 0.0000, 0.5000)

## Properties
Calculated volume, Å³ per cell: 107.24
Magnetic moment, Bohr magnetons per cell: 0.00
Symmetry: No. 123

---

*x*
A relaxed YGaS2Cl crystal, computed with PBE.

a b c (Å): 5.2793 5.2793 5.3488
angles (deg): 90.00 90.00 90.00
Last column: magnetic moment on the atom in μB.
Element x y z (fractional)
S (0.0000, 0.5000, 0.0000)  0.24
S (0.5000, 0.0000, 0.0000)  0.24
Ga (0.5000, 0.5000, 0.5000)  0.00
Cl (0.0000, 0.0000, 0.5000)  0.00
Y (0.0000, 0.0000, 0.0000)  -0.01

## Properties
Calculated volume, Å³ per cell: 149.07
Magnetic moment, Bohr magnetons per cell: 0.80
Symmetry: No. 123

---

*y*
A relaxed YGaS2Cl crystal, computed with PBE.

a b c (Å): 4.9708 4.6864 4.9708
angles (deg): 90.00 90.00 90.00
Element x y z (fractional)
S (0.0000, 0.0000, 0.5000)
S (0.5000, 0.0000, 0.0000)
Ga (0.0000, 0.5000, 0.0000)
Y (0.5000, 0.5000, 0.5000)
Cl (0.0000, 0.0000, 0.0000)

## Properties
Calculated volume, Å³ per cell: 115.79
Magnetic moment, Bohr magnetons per cell: 0.00
Symmetry: No. 123

---

From most stable to least stable, the computed energies give *x*, *w*, *y*.

---

*w*
A relaxed YGaSCl2 crystal, computed with PBE.

a b c (Å): 5.3017 5.3017 5.2825
angles (deg): 90.00 90.00 90.00
Element x y z (fractional)
Cl (0.5000, 0.0000, 0.0000)
Cl (0.0000, 0.5000, 0.0000)
S (0.0000, 0.0000, 0.5000)
Y (0.0000, 0.0000, 0.0000)
Ga (0.5000, 0.5000, 0.5000)

## Properties
Calculated volume, Å³ per cell: 148.48
Magnetic moment, Bohr magnetons per cell: 0.00
Symmetry: No. 123

---

*x*
A relaxed YGaSCl2 crystal, computed with PBE.

a b c (Å): 4.8686 4.8686 4.8923
angles (deg): 90.00 90.00 90.00
Element x y z (fractional)
Cl (0.0000, 0.5000, 0.0000)
Cl (0.5000, 0.0000, 0.0000)
Y (0.5000, 0.5000, 0.5000)
S (0.0000, 0.0000, 0.5000)
Ga (0.0000, 0.0000, 0.0000)

## Properties
Calculated volume, Å³ per cell: 115.97
Magnetic moment, Bohr magnetons per cell: 0.00
Symmetry: No. 123

---

From most stable to least stable, the computed energies give *w*, *x*.

---

*w*
A relaxed ZrGaS2Cl crystal, computed with PBE.

a b c (Å): 4.7354 4.7354 4.6110
angles (deg): 90.00 90.00 90.00
Last column: magnetic moment on the atom in μB.
Element x y z (fractional)
S (0.0000, 0.5000, 0.0000)  -0.06
S (0.5000, 0.0000, 0.0000)  -0.06
Ga (0.0000, 0.0000, 0.0000)  0.03
Zr (0.5000, 0.5000, 0.5000)  1.14
Cl (0.0000, 0.0000, 0.5000)  -0.02

## Properties
Calculated volume, Å³ per cell: 103.40
Magnetic moment, Bohr magnetons per cell: 1.54
Symmetry: No. 123

---

*x*
A relaxed ZrGaS2Cl crystal, computed with PBE.

a b c (Å): 5.0169 5.0169 5.1040
angles (deg): 90.00 90.00 90.00
Element x y z (fractional)
Cl (0.0000, 0.0000, 0.5000)
S (0.0000, 0.5000, 0.0000)
S (0.5000, 0.0000, 0.0000)
Zr (0.0000, 0.0000, 0.0000)
Ga (0.5000, 0.5000, 0.5000)

## Properties
Calculated volume, Å³ per cell: 128.47
Magnetic moment, Bohr magnetons per cell: 0.00
Symmetry: No. 123

---

From most stable to least stable, the computed energies give *x*, *w*.

---

*w*
A relaxed GaSb3Cl crystal, computed with PBE.

a b c (Å): 5.3528 5.3528 5.3528
angles (deg): 90.00 90.00 90.00
Element x y z (fractional)
Sb (0.5000, 0.0000, 0.0000)
Sb (0.0000, 0.0000, 0.5000)
Sb (0.0000, 0.5000, 0.0000)
Ga (0.0000, 0.0000, 0.0000)
Cl (0.5000, 0.5000, 0.5000)

## Properties
Calculated volume, Å³ per cell: 153.37
Magnetic moment, Bohr magnetons per cell: 0.00
Symmetry: No. 221

---

*x*
A relaxed GaSb3Cl crystal, computed with PBE.

a b c (Å): 5.4041 5.4041 5.4041
angles (deg): 90.00 90.00 90.00
Element x y z (fractional)
Cl (0.0000, 0.0000, 0.0000)
Sb (0.5000, 0.0000, 0.0000)
Sb (0.0000, 0.5000, 0.0000)
Sb (0.0000, 0.0000, 0.5000)
Ga (0.5000, 0.5000, 0.5000)

## Properties
Calculated volume, Å³ per cell: 157.82
Magnetic moment, Bohr magnetons per cell: 0.00
Symmetry: No. 221

---

From most stable to least stable, the computed energies give *w*, *x*.

---

*w*
A relaxed Sc2GaCl crystal, computed with PBE.

a b c (Å): 5.6090 5.6090 7.8090
angles (deg): 68.95 68.95 90.00
Element x y z (fractional)
Sc (0.1274, 0.6250, 0.2500)
Sc (0.8750, 0.8726, 0.7500)
Sc (0.3750, 0.3774, 0.7500)
Sc (0.6226, 0.1250, 0.2500)
Cl (0.2500, 0.7500, 0.5000)
Cl (0.5000, 0.5000, 0.0000)
Ga (0.7500, 0.2500, 0.5000)
Ga (0.0000, 0.0000, 0.0000)

## Properties
Calculated volume, Å³ per cell: 211.63
Magnetic moment, Bohr magnetons per cell: 0.00
Symmetry: No. 122

---

*x*
A relaxed Sc2GaCl crystal, computed with PBE.

a b c (Å): 4.8344 4.8344 4.8344
angles (deg): 60.00 60.00 60.00
Element x y z (fractional)
Ga (0.5000, 0.5000, 0.5000)
Cl (0.0000, 0.0000, 0.0000)
Sc (0.2500, 0.2500, 0.2500)
Sc (0.7500, 0.7500, 0.7500)

## Properties
Calculated volume, Å³ per cell: 79.89
Magnetic moment, Bohr magnetons per cell: 0.00
Symmetry: No. 225

---

From most stable to least stable, the computed energies give *x*, *w*.